A.
{
  "formula": "Li7Ti11O24",
  "functional": "GGA-PBEsol",
  "state": "relaxed",
  "dos_at_fermi_per_ev_cell": 11.06,
  "m_tot_mub_per_fu": 0.01,
  "cell": [[-3.791, 3.471, 2.900], [-6.022, -5.678, -1.076], [7.179, -2.773, 6.701]],
  "species": ["Li", "Li", "Li", "Li", "Li", "Li", "Li", "Ti", "Ti", "Ti", "Ti", "Ti", "Ti", "Ti", "Ti", "Ti", "Ti", "Ti", "O", "O", "O", "O", "O", "O", "O", "O", "O", "O", "O", "O", "O", "O", "O", "O", "O", "O", "O", "O", "O", "O", "O", "O"],
  "fractional_positions": [[0.084, 0.204, 0.167], [0.752, 0.877, 0.504], [0.248, 0.123, 0.496], [0.581, 0.458, 0.163], [0.419, 0.542, 0.837], [0.916, 0.796, 0.833], [0.500, 0.000, 0.000], [0.338, 0.835, 0.675], [0.166, 0.667, 0.333], [0.664, 0.163, 0.838], [0.174, 0.163, 0.838], [0.834, 0.333, 0.667], [0.000, 0.500, 0.000], [0.662, 0.165, 0.325], [0.826, 0.837, 0.162], [0.500, 0.500, 0.500], [0.336, 0.837, 0.162], [0.000, 0.500, 0.500], [0.674, 0.412, 0.348], [0.175, 0.436, 0.350], [0.473, 0.737, 0.499], [0.026, 0.737, 0.499], [0.645, 0.929, 0.823], [0.178, 0.929, 0.823], [0.341, 0.080, 0.682], [0.489, 0.239, 0.977], [0.158, 0.892, 0.316], [0.992, 0.253, 0.984], [0.842, 0.108, 0.684], [0.659, 0.920, 0.318], [0.141, 0.405, 0.834], [0.693, 0.405, 0.834], [0.974, 0.263, 0.501], [0.859, 0.595, 0.166], [0.527, 0.263, 0.501], [0.307, 0.595, 0.166], [0.008, 0.747, 0.016], [0.825, 0.564, 0.650], [0.511, 0.761, 0.023], [0.326, 0.588, 0.652], [0.822, 0.071, 0.177], [0.355, 0.071, 0.177]]
}


B.
{
  "formula": "Li7Ti11O24",
  "functional": "GGA-PBEsol",
  "state": "relaxed",
  "dos_at_fermi_per_ev_cell": 12.18,
  "m_tot_mub_per_fu": 2.94,
  "cell": [[5.017, 0.000, 0.004], [0.000, 8.764, 0.000], [-0.044, 0.000, 9.621]],
  "species": ["Li", "Li", "Li", "Li", "Li", "Li", "Li", "Ti", "Ti", "Ti", "Ti", "Ti", "Ti", "Ti", "Ti", "Ti", "Ti", "Ti", "O", "O", "O", "O", "O", "O", "O", "O", "O", "O", "O", "O", "O", "O", "O", "O", "O", "O", "O", "O", "O", "O", "O", "O"],
  "fractional_positions": [[0.480, 0.500, 0.650], [0.560, 0.332, 0.032], [0.560, 0.668, 0.032], [0.560, 0.000, 0.037], [0.936, 0.341, 0.540], [0.943, 0.000, 0.537], [0.936, 0.659, 0.540], [0.020, 0.169, 0.143], [0.020, 0.831, 0.143], [0.013, 0.500, 0.143], [0.479, 0.176, 0.643], [0.479, 0.824, 0.643], [0.511, 0.337, 0.368], [0.511, 0.663, 0.368], [0.515, 0.000, 0.362], [0.987, 0.336, 0.855], [0.977, 0.000, 0.860], [0.987, 0.664, 0.855], [0.206, 0.164, 0.781], [0.178, 0.500, 0.781], [0.206, 0.836, 0.781], [0.193, 0.332, 0.037], [0.192, 0.000, 0.037], [0.193, 0.668, 0.037], [0.303, 0.323, 0.533], [0.314, 0.000, 0.539], [0.303, 0.677, 0.533], [0.302, 0.836, 0.278], [0.300, 0.500, 0.277], [0.302, 0.164, 0.278], [0.723, 0.320, 0.716], [0.723, 0.680, 0.716], [0.715, 0.000, 0.712], [0.716, 0.167, 0.464], [0.716, 0.833, 0.464], [0.722, 0.500, 0.451], [0.788, 0.165, 0.965], [0.788, 0.835, 0.965], [0.788, 0.500, 0.963], [0.782, 0.331, 0.210], [0.788, 0.000, 0.215], [0.782, 0.669, 0.210]]
}


Energies relative to the most stable structure are A 0.0; B 2.8, reported in kJ/mol of atoms.


A.
{
  "formula": "LiTi3O6",
  "functional": "GGA-PBEsol",
  "state": "relaxed",
  "dos_at_fermi_per_ev_cell": 8.11,
  "m_tot_mub_per_fu": 0.00,
  "cell": [[-0.737, 4.413, 2.855], [-3.243, -0.779, -4.128], [-3.299, -5.885, 5.560]],
  "species": ["Li", "Li", "Ti", "Ti", "Ti", "Ti", "Ti", "Ti", "O", "O", "O", "O", "O", "O", "O", "O", "O", "O", "O", "O"],
  "fractional_positions": [[0.500, 0.500, 0.000], [0.750, 0.250, 0.500], [0.582, 0.082, 0.163], [0.668, 0.668, 0.337], [0.000, 0.000, 0.000], [0.918, 0.418, 0.837], [0.332, 0.332, 0.663], [0.250, 0.750, 0.500], [0.458, 0.894, 0.338], [0.880, 0.444, 0.338], [0.792, 0.856, 0.162], [0.220, 0.780, 0.000], [0.370, 0.306, 0.162], [0.694, 0.630, 0.838], [0.106, 0.542, 0.662], [0.780, 0.220, 0.000], [0.144, 0.208, 0.838], [0.470, 0.530, 0.500], [0.556, 0.120, 0.662], [0.030, 0.970, 0.500]]
}


B.
{
  "formula": "LiTi3O6",
  "functional": "GGA-PBEsol",
  "state": "relaxed",
  "dos_at_fermi_per_ev_cell": 4.43,
  "m_tot_mub_per_fu": 0.97,
  "cell": [[2.928, 0.000, 0.000], [0.000, 4.961, 0.010], [-1.464, -0.295, 7.009]],
  "species": ["Li", "O", "O", "O", "O", "O", "O", "Ti", "Ti", "Ti"],
  "fractional_positions": [[0.785, 0.936, 0.571], [0.095, 0.312, 0.190], [0.232, 0.710, 0.463], [0.430, 0.174, 0.860], [0.568, 0.816, 0.137], [0.771, 0.303, 0.542], [0.901, 0.697, 0.802], [0.348, 0.473, 0.696], [0.004, 0.000, 0.007], [0.653, 0.518, 0.307]]
}


Energies relative to the most stable structure are A 0.7; B 0.0, reported in kJ/mol of atoms.


A.
{
  "formula": "Li2Ti3O6",
  "functional": "GGA-PBEsol",
  "state": "relaxed",
  "dos_at_fermi_per_ev_cell": 9.55,
  "m_tot_mub_per_fu": 0.00,
  "cell": [[5.093, 0.015, 0.000], [-1.987, 4.689, 0.000], [-1.553, -2.352, 8.452]],
  "species": ["Li", "Li", "Li", "Li", "Ti", "Ti", "Ti", "Ti", "Ti", "Ti", "O", "O", "O", "O", "O", "O", "O", "O", "O", "O", "O", "O"],
  "fractional_positions": [[0.831, 0.831, 0.662], [0.081, 0.581, 0.162], [0.169, 0.169, 0.338], [0.419, 0.919, 0.838], [0.250, 0.750, 0.500], [0.335, 0.335, 0.670], [0.665, 0.665, 0.330], [0.585, 0.085, 0.170], [0.000, 0.000, 0.000], [0.915, 0.415, 0.830], [0.099, 0.584, 0.671], [0.572, 0.087, 0.671], [0.489, 0.511, 0.500], [0.913, 0.428, 0.329], [0.011, 0.989, 0.500], [0.337, 0.322, 0.171], [0.761, 0.239, 0.000], [0.416, 0.901, 0.329], [0.834, 0.849, 0.171], [0.151, 0.166, 0.829], [0.239, 0.761, 0.000], [0.678, 0.663, 0.829]]
}


B.
{
  "formula": "Li2Ti3O6",
  "functional": "GGA-PBEsol",
  "state": "relaxed",
  "dos_at_fermi_per_ev_cell": 4.97,
  "m_tot_mub_per_fu": 0.00,
  "cell": [[-3.659, -3.432, -0.246], [4.654, -1.190, -1.467], [0.740, 0.055, 5.141]],
  "species": ["Li", "Li", "O", "O", "O", "O", "O", "O", "Ti", "Ti", "Ti"],
  "fractional_positions": [[0.168, 0.832, 0.500], [0.832, 0.168, 0.500], [0.248, 0.248, 0.770], [0.592, 0.934, 0.775], [0.934, 0.592, 0.775], [0.066, 0.408, 0.225], [0.408, 0.066, 0.225], [0.752, 0.752, 0.230], [0.337, 0.663, 0.000], [0.663, 0.337, 0.000], [0.000, 0.000, 0.000]]
}


Energies relative to the most stable structure are A 0.0; B 3.8, reported in kJ/mol of atoms.


A.
{
  "formula": "Li2TiVO4",
  "functional": "GGA-PBEsol",
  "state": "relaxed",
  "dos_at_fermi_per_ev_cell": 3.71,
  "m_tot_mub_per_fu": 0.36,
  "cell": [[5.192, 0.026, 0.108], [0.011, 5.688, -0.007], [-2.414, -1.451, 6.963]],
  "species": ["Li", "Li", "Li", "Li", "Li", "Li", "Ti", "Ti", "Ti", "V", "V", "V", "O", "O", "O", "O", "O", "O", "O", "O", "O", "O", "O", "O"],
  "fractional_positions": [[0.994, 0.084, 0.832], [0.003, 0.253, 0.503], [0.996, 0.578, 0.831], [0.006, 0.916, 0.168], [0.004, 0.422, 0.169], [0.997, 0.747, 0.497], [0.500, 0.810, 0.836], [0.500, 0.190, 0.164], [0.500, 0.000, 0.500], [0.499, 0.365, 0.852], [0.501, 0.635, 0.148], [0.500, 0.500, 0.500], [0.767, 0.634, 0.008], [0.724, 0.124, 0.993], [0.751, 0.462, 0.335], [0.722, 0.958, 0.327], [0.728, 0.289, 0.665], [0.735, 0.793, 0.664], [0.276, 0.876, 0.007], [0.233, 0.366, 0.992], [0.265, 0.207, 0.336], [0.272, 0.711, 0.335], [0.278, 0.042, 0.673], [0.249, 0.538, 0.665]]
}


B.
{
  "formula": "Li2TiVO4",
  "functional": "GGA-PBEsol",
  "state": "relaxed",
  "dos_at_fermi_per_ev_cell": 9.02,
  "m_tot_mub_per_fu": 0.23,
  "cell": [[-4.974, -1.899, -1.936], [0.229, -4.325, 3.653], [-1.557, 7.661, 4.775]],
  "species": ["Li", "Li", "Li", "Li", "Li", "Li", "Li", "Li", "Ti", "Ti", "Ti", "Ti", "V", "V", "V", "V", "O", "O", "O", "O", "O", "O", "O", "O", "O", "O", "O", "O", "O", "O", "O", "O"],
  "fractional_positions": [[0.126, 0.626, 0.752], [0.626, 0.126, 0.752], [0.374, 0.374, 0.248], [0.874, 0.874, 0.248], [0.000, 0.500, 0.000], [0.500, 0.000, 0.000], [0.250, 0.250, 0.500], [0.750, 0.750, 0.500], [0.624, 0.624, 0.748], [0.124, 0.124, 0.748], [0.876, 0.376, 0.252], [0.376, 0.876, 0.252], [0.750, 0.250, 0.500], [0.000, 0.000, 0.000], [0.250, 0.750, 0.500], [0.500, 0.500, 0.000], [0.499, 0.499, 0.499], [0.999, 0.999, 0.499], [0.751, 0.251, 0.003], [0.251, 0.751, 0.003], [0.749, 0.749, 0.997], [0.249, 0.249, 0.997], [0.001, 0.501, 0.501], [0.501, 0.001, 0.501], [0.875, 0.375, 0.749], [0.375, 0.875, 0.749], [0.125, 0.125, 0.250], [0.625, 0.625, 0.250], [0.875, 0.875, 0.750], [0.375, 0.375, 0.750], [0.125, 0.625, 0.251], [0.625, 0.125, 0.251]]
}


Energies relative to the most stable structure are A 0.0; B 1.2, reported in kJ/mol of atoms.


A.
{
  "formula": "Li2TiVO4",
  "functional": "GGA-PBEsol",
  "state": "relaxed",
  "dos_at_fermi_per_ev_cell": 3.53,
  "m_tot_mub_per_fu": 1.84,
  "cell": [[-0.452, 1.412, 2.450], [-2.155, -4.017, 1.917], [5.070, -0.180, 1.039]],
  "species": ["Ti", "Li", "Li", "O", "O", "O", "O", "V"],
  "fractional_positions": [[0.000, 0.500, 0.000], [0.500, 0.500, 0.500], [0.000, 0.000, 0.500], [0.000, 0.754, 0.762], [0.000, 0.246, 0.238], [0.500, 0.256, 0.762], [0.500, 0.744, 0.238], [0.500, 0.000, 0.000]]
}


B.
{
  "formula": "Li2TiVO4",
  "functional": "GGA-PBEsol",
  "state": "relaxed",
  "dos_at_fermi_per_ev_cell": 11.33,
  "m_tot_mub_per_fu": 0.73,
  "cell": [[-5.249, -2.350, -0.679], [2.333, -4.349, -3.029], [0.939, -4.437, 6.804]],
  "species": ["Li", "Li", "Li", "Li", "Li", "Li", "Li", "Li", "Ti", "Ti", "Ti", "Ti", "V", "V", "V", "V", "O", "O", "O", "O", "O", "O", "O", "O", "O", "O", "O", "O", "O", "O", "O", "O"],
  "fractional_positions": [[0.495, 0.745, 0.379], [0.003, 0.249, 0.876], [0.255, 0.505, 0.621], [0.751, 0.997, 0.124], [0.492, 0.251, 0.373], [0.997, 0.751, 0.873], [0.749, 0.508, 0.627], [0.249, 0.003, 0.127], [0.993, 0.762, 0.380], [0.506, 0.244, 0.872], [0.238, 0.007, 0.620], [0.756, 0.494, 0.128], [0.251, 0.503, 0.123], [0.497, 0.749, 0.877], [0.777, 0.012, 0.606], [0.988, 0.223, 0.394], [0.004, 0.263, 0.632], [0.504, 0.739, 0.123], [0.737, 0.996, 0.368], [0.261, 0.496, 0.877], [0.229, 0.493, 0.367], [0.742, 0.998, 0.864], [0.002, 0.258, 0.136], [0.507, 0.771, 0.633], [0.249, 0.995, 0.376], [0.743, 0.497, 0.883], [0.005, 0.751, 0.624], [0.503, 0.257, 0.117], [0.997, 0.743, 0.130], [0.504, 0.240, 0.628], [0.760, 0.496, 0.372], [0.257, 0.003, 0.870]]
}


Energies relative to the most stable structure are A 0.8; B 0.0, reported in kJ/mol of atoms.


A.
{
  "formula": "Li2TiVO4",
  "functional": "GGA-PBEsol",
  "state": "relaxed",
  "dos_at_fermi_per_ev_cell": 2.67,
  "m_tot_mub_per_fu": 0.59,
  "cell": [[3.996, 0.000, 0.000], [0.000, 3.996, 0.000], [-1.998, -1.998, 4.123]],
  "species": ["V", "Li", "Li", "O", "O", "O", "O", "Ti"],
  "fractional_positions": [[0.500, 0.500, 0.000], [0.750, 0.250, 0.500], [0.000, 0.000, 0.000], [0.500, 0.000, 0.001], [0.000, 0.500, 0.999], [0.250, 0.250, 0.500], [0.750, 0.750, 0.500], [0.250, 0.750, 0.500]]
}


B.
{
  "formula": "Li2TiVO4",
  "functional": "GGA-PBEsol",
  "state": "relaxed",
  "dos_at_fermi_per_ev_cell": 7.40,
  "m_tot_mub_per_fu": 1.86,
  "cell": [[5.812, -0.023, -0.004], [-2.917, 5.027, 0.004], [2.890, 1.667, 4.759]],
  "species": ["Li", "Li", "Li", "Li", "Ti", "Ti", "V", "V", "O", "O", "O", "O", "O", "O", "O", "O"],
  "fractional_positions": [[0.000, 0.000, 0.000], [0.500, 0.500, 0.000], [0.000, 0.500, 0.000], [0.500, 0.500, 0.500], [0.000, 0.000, 0.500], [0.500, 0.000, 0.000], [0.500, 0.000, 0.500], [0.000, 0.500, 0.500], [0.508, 0.245, 0.747], [0.992, 0.245, 0.262], [0.008, 0.755, 0.738], [0.492, 0.755, 0.253], [0.991, 0.243, 0.748], [0.509, 0.760, 0.748], [0.491, 0.240, 0.252], [0.009, 0.757, 0.252]]
}


Energies relative to the most stable structure are A 0.0; B 1.1, reported in kJ/mol of atoms.


A.
{
  "formula": "LiTiVO4",
  "functional": "GGA-PBEsol",
  "state": "relaxed",
  "dos_at_fermi_per_ev_cell": 6.96,
  "m_tot_mub_per_fu": 1.30,
  "cell": [[5.859, 0.000, 0.000], [2.929, 5.018, 0.017], [2.929, 1.670, 4.732]],
  "species": ["Li", "Li", "Ti", "Ti", "V", "V", "O", "O", "O", "O", "O", "O", "O", "O"],
  "fractional_positions": [[0.500, 0.500, 0.000], [0.000, 0.500, 0.000], [0.000, 0.000, 0.500], [0.500, 0.000, 0.500], [0.000, 0.500, 0.500], [0.000, 0.000, 0.000], [0.214, 0.758, 0.258], [0.769, 0.758, 0.258], [0.231, 0.242, 0.742], [0.786, 0.242, 0.742], [0.241, 0.774, 0.744], [0.241, 0.244, 0.274], [0.759, 0.756, 0.726], [0.759, 0.226, 0.256]]
}


B.
{
  "formula": "LiTiVO4",
  "functional": "GGA-PBEsol",
  "state": "relaxed",
  "dos_at_fermi_per_ev_cell": 5.00,
  "m_tot_mub_per_fu": 2.01,
  "cell": [[-3.958, -2.567, 2.079], [2.863, -5.010, -0.749], [3.969, 3.085, 5.755]],
  "species": ["Li", "Li", "Li", "Ti", "Ti", "Ti", "V", "V", "V", "O", "O", "O", "O", "O", "O", "O", "O", "O", "O", "O", "O"],
  "fractional_positions": [[0.004, 0.536, 0.003], [0.006, 0.320, 0.328], [0.989, 0.132, 0.662], [0.496, 0.242, 0.003], [0.529, 0.599, 0.343], [0.491, 0.417, 0.667], [0.503, 0.767, 0.000], [0.484, 0.075, 0.321], [0.500, 0.909, 0.674], [0.721, 0.047, 0.160], [0.720, 0.536, 0.154], [0.710, 0.885, 0.494], [0.714, 0.362, 0.484], [0.715, 0.699, 0.826], [0.714, 0.209, 0.821], [0.283, 0.308, 0.179], [0.290, 0.784, 0.174], [0.295, 0.617, 0.505], [0.281, 0.129, 0.513], [0.286, 0.461, 0.846], [0.277, 0.967, 0.841]]
}


Energies relative to the most stable structure are A 1.0; B 0.0, reported in kJ/mol of atoms.